1.
A relaxed ErHg crystal. Source: Alexandria, functional PBE-GGA.

abc: 4.3086 4.3086 4.3086
angles: 60.00 60.00 60.00
Element x y z (fractional)
Er1 0.0000 0.0000 0.0000
Hg1 0.5000 0.5000 0.5000

Its space group is Fm-3m, No. 225. For the total magnetization, the calculation gives 0.00 μB/f.u. The value obtained for the formation energy from the elements is -233 meV/atom. Its density of states at the Fermi level is 2.02 states/eV per cell. The value obtained for the calculated volume is 56.6 Å³ per cell.

---

2.
A relaxed ErHg5 crystal. Source: Alexandria, functional PBE-GGA.

abc: 7.1771 7.1771 4.8229
angles: 90.00 90.00 144.07
Element x y z (fractional)
Er1 0.0000 0.0000 0.0000
Hg1 0.1628 0.8372 0.5000
Hg2 0.3330 0.6670 0.0000
Hg3 0.5000 0.5000 0.5000
Hg4 0.6670 0.3330 0.0000
Hg5 0.8372 0.1628 0.5000

Its space group is Cmmm, No. 65. For the total magnetization, the calculation gives 0.00 μB/f.u. The value obtained for the formation energy from the elements is -195 meV/atom. Its density of states at the Fermi level is 2.83 states/eV per cell. The value obtained for the calculated volume is 145.8 Å³ per cell.

---

3.
A relaxed Er2Hg crystal. Source: Alexandria, functional PBE-GGA.

abc: 6.9743 5.0730 9.1464
angles: 90.00 90.00 90.00
Element x y z (fractional)
Er1 0.0156 0.2500 0.1961
Er2 0.1709 0.2500 0.5751
Er3 0.3291 0.7500 0.0751
Er4 0.4844 0.7500 0.6961
Er5 0.5156 0.2500 0.3039
Er6 0.6709 0.2500 0.9249
Er7 0.8291 0.7500 0.4249
Er8 0.9844 0.7500 0.8039
Hg1 0.2364 0.2500 0.8998
Hg2 0.2636 0.7500 0.3998
Hg3 0.7364 0.2500 0.6002
Hg4 0.7636 0.7500 0.1002

Its space group is Pnma, No. 62. For the total magnetization, the calculation gives 0.00 μB/f.u. The value obtained for the formation energy from the elements is -366 meV/atom. Its density of states at the Fermi level is 4.15 states/eV per cell. The value obtained for the calculated volume is 323.6 Å³ per cell.

---

4.
A relaxed Er2Hg3 crystal. Source: Alexandria, functional PBE-GGA.

abc: 9.0746 9.0746 9.0746
angles: 156.05 156.05 34.12
Element x y z (fractional)
Er1 0.1046 0.1046 0.0000
Er2 0.8954 0.8954 0.0000
Hg1 0.2985 0.2985 0.0000
Hg2 0.5000 0.5000 0.0000
Hg3 0.7015 0.7015 0.0000

Its space group is I4/mmm, No. 139. For the total magnetization, the calculation gives 0.00 μB/f.u. The value obtained for the formation energy from the elements is -409 meV/atom. For the energy above the most stable polymorph in this dataset, the calculation gives 0.00 kJ/mol of atoms. Its density of states at the Fermi level is 1.95 states/eV per cell. The value obtained for the calculated volume is 123.0 Å³ per cell.

---

5.
A relaxed Er7Hg3 crystal. Source: Alexandria, functional PBE-GGA.

abc: 10.0152 10.0152 6.5632
angles: 90.00 90.00 120.00
Element x y z (fractional)
Er1 0.0627 0.5313 0.0000
Er2 0.1284 0.2568 0.2725
Er3 0.1284 0.8716 0.2725
Er4 0.2568 0.1284 0.7725
Er5 0.3333 0.6667 0.4194
Er6 0.4687 0.5313 0.0000
Er7 0.4687 0.9373 0.0000
Er8 0.5313 0.0627 0.5000
Er9 0.5313 0.4687 0.5000
Er10 0.6667 0.3333 0.9194
Er11 0.7432 0.8716 0.2725
Er12 0.8716 0.1284 0.7725
Er13 0.8716 0.7432 0.7725
Er14 0.9373 0.4687 0.5000
Hg1 0.1984 0.3969 0.7127
Hg2 0.1984 0.8016 0.7127
Hg3 0.3969 0.1984 0.2127
Hg4 0.6031 0.8016 0.7127
Hg5 0.8016 0.1984 0.2127
Hg6 0.8016 0.6031 0.2127

Its space group is P6_3mc, No. 186. For the total magnetization, the calculation gives 0.00 μB/f.u. The value obtained for the formation energy from the elements is -241 meV/atom. Its density of states at the Fermi level is 25.81 states/eV per cell. The value obtained for the calculated volume is 570.1 Å³ per cell.

---

6.
A relaxed Er5Hg crystal. Source: Alexandria, functional PBE-GGA.

abc: 7.8230 7.8230 4.7645
angles: 90.00 90.00 144.48
Element x y z (fractional)
Er1 0.0000 0.0000 0.0000
Er2 0.1624 0.8376 0.5000
Er3 0.3315 0.6685 0.0000
Er4 0.6685 0.3315 0.0000
Er5 0.8376 0.1624 0.5000
Hg1 0.5000 0.5000 0.5000

Its space group is Cmmm, No. 65. For the total magnetization, the calculation gives 0.00 μB/f.u. The value obtained for the formation energy from the elements is -95 meV/atom. Its density of states at the Fermi level is 6.86 states/eV per cell. The value obtained for the calculated volume is 169.4 Å³ per cell.